# 1
! TcBi3O | Alexandria via LeMat-Bulk | GGA-PBE | optimized geometry; values from VASP
! Volume   22.93 Å³/atom
! Energy relative to the lowest polymorph listed for this composition   0.0 meV per atom
! ρ   10.733 g cm⁻³
! DOS at the Fermi energy   0.673 states/eV/atom
&SYSTEM
  ibrav = 0, nat = 5, ntyp = 3
/
ATOMIC_SPECIES
Bi 208.98 Bi.upf
O 16.00 O.upf
Tc 98.00 Tc.upf
ATOMIC_POSITIONS angstrom
Bi -0.1322 1.4048 1.9771
O 0.0000 0.0000 0.0000
Bi 1.0883 -1.7351 1.3056
Bi -2.1674 -0.9569 0.5350
Tc -1.2113 -1.2872 3.8177
CELL_PARAMETERS angstrom
-0.2643 2.8096 3.9541
-4.3349 -1.9138 1.0701
2.1766 -3.4702 2.6112



# 2
! Li2NiAu | Alexandria via LeMat-Bulk | GGA-PBE | optimized geometry; values from VASP
! Volume   13.81 Å³/atom
! Formation energy   -0.25 eV per atom
! ρ   8.102 g cm⁻³
! DOS at the Fermi energy   0.212 states/eV/atom
&SYSTEM
  ibrav = 0, nat = 4, ntyp = 3
/
ATOMIC_SPECIES
Au 196.97 Au.upf
Ni 58.69 Ni.upf
Li 6.94 Li.upf
ATOMIC_POSITIONS angstrom
Au 2.1351 -0.0569 1.5137
Ni 2.1823 2.0785 0.0000
Li 0.0472 2.1354 1.5137
Li 0.0000 0.0000 0.0000
CELL_PARAMETERS angstrom
4.2703 -0.1138 0.0000
0.0944 4.2707 0.0000
-2.1823 -2.0785 3.0275



# 3
! LaTb2Ho | Alexandria via LeMat-Bulk | GGA-PBE | optimized geometry; values from VASP
! Volume   33.21 Å³/atom
! Energy relative to the lowest polymorph listed for this composition   14.6 meV per atom
! Formation energy   0.02 eV per atom
! ρ   7.770 g cm⁻³
! DOS at the Fermi energy   1.646 states/eV/atom
&SYSTEM
  ibrav = 0, nat = 8, ntyp = 3
/
ATOMIC_SPECIES
La 138.91 La.upf
Tb 158.93 Tb.upf
Ho 164.93 Ho.upf
ATOMIC_POSITIONS angstrom
La -4.8842 -3.7506 -2.2460
Tb 0.5002 -6.5606 3.1430
Tb -2.3211 -2.0973 -0.2750
Ho -2.5079 -4.7188 2.1465
Ho 0.6869 -3.9391 0.7216
Tb -1.9106 -5.5911 -1.2675
Tb 0.0896 -3.0667 4.1356
La 3.0633 -4.9073 5.1141
CELL_PARAMETERS angstrom
-2.6397 -1.6867 4.8479
-5.1594 -3.2972 -3.9563
5.9781 -3.6740 1.9764